DFT (PBE-GGA) results for an optimized crystal structure of IrPtPb2O6.

Summary:
Formation energy without anion corrections: -0.641 eV per atom

Lattice parameters (Å, degrees): 5.8251 5.8251 29.7248 90.00 90.00 120.00
Space group R-3m (No. 166, hexagonal axes)
Inequivalent atoms, fractional coordinates:
Ir1 0.0000 0.0000 0.0000 [3 per cell]
Ir2 0.0000 0.0000 0.5000 [3 per cell]
Pt1 0.0000 0.0000 0.0945 [6 per cell]
Pb1 0.0000 0.0000 0.2303 [6 per cell]
Pb2 0.0000 0.0000 0.3866 [6 per cell]
O1 0.0352 0.5176 0.6186 [18 per cell]
O2 0.0394 0.5197 0.2120 [18 per cell]